(1)
The following is a DFT calculation (GGA-PBE) of a relaxed structure of CdSi2Au.

The structure in CIF format:
```
data_CdSi2Au
_chemical_formula_sum 'Cd1 Si2 Au1'
_space_group_name_H-M_alt 'P 1 2/m 1'
_space_group_IT_number 10
_cell_length_a 4.1414
_cell_length_b 4.3474
_cell_length_c 4.5765
_cell_angle_alpha 90.00
_cell_angle_beta 93.73
_cell_angle_gamma 90.00
loop_
_space_group_symop_operation_xyz
'x,y,z'
'-x,-y,-z'
'-x,y,-z'
'x,-y,z'
loop_
_atom_site_label
_atom_site_type_symbol
_atom_site_fract_x
_atom_site_fract_y
_atom_site_fract_z
Cd1 Cd 0.0000 0.0000 0.0000
Si1 Si 0.2173 0.5000 0.3418
Au1 Au 0.5000 0.0000 0.5000
```

Values from the calculation:
The total magnetic moment comes out at 0.000 μB per cell. The crystal system is monoclinic. Its formation energy (no corrections) is 195 meV per atom.

(2)
The following is a DFT calculation (GGA-PBE) of a relaxed structure of TiSn3Au.

The structure in CIF format:
```
data_TiSn3Au
_chemical_formula_sum 'Ti1 Sn3 Au1'
_space_group_name_H-M_alt 'P m -3 m'
_space_group_IT_number 221
_space_group_name_Hall '-P 4 2 3'
_cell_length_a 5.3086
_cell_length_b 5.3086
_cell_length_c 5.3086
_cell_angle_alpha 90.00
_cell_angle_beta 90.00
_cell_angle_gamma 90.00
loop_
_atom_site_label
_atom_site_type_symbol
_atom_site_fract_x
_atom_site_fract_y
_atom_site_fract_z
Ti1 Ti 0.0000 0.0000 0.0000
Sn1 Sn 0.0000 0.5000 0.5000
Au1 Au 0.5000 0.5000 0.5000
```

Values from the calculation:
The total magnetic moment comes out at 0.000 μB per cell. The calculation puts the energy relative to the elements at 3.80 eV per formula unit. The crystal system is cubic.

(3)
The following is a DFT calculation (GGA-PBE) of a relaxed structure of MnIn7.

The structure in CIF format:
```
data_MnIn7
_chemical_formula_sum 'Mn4 In28'
_space_group_name_H-M_alt 'F m -3 m'
_space_group_IT_number 225
_space_group_name_Hall '-F 4 2 3'
_cell_length_a 9.2781
_cell_length_b 9.2781
_cell_length_c 9.2781
_cell_angle_alpha 90.00
_cell_angle_beta 90.00
_cell_angle_gamma 90.00
loop_
_atom_site_label
_atom_site_type_symbol
_atom_site_fract_x
_atom_site_fract_y
_atom_site_fract_z
Mn1 Mn 0.0000 0.0000 0.0000
In1 In 0.0000 0.0000 0.5000
In2 In 0.0000 0.2500 0.2500
```

Values from the calculation:
The total magnetic moment comes out at 17.550 μB per cell. The calculation puts the energy relative to the elements at 1.17 eV per formula unit. The crystal system is cubic.

(4)
The following is a DFT calculation (GGA-PBE) of a relaxed structure of SrTc2Pb.

The structure in CIF format:
```
data_SrTc2Pb
_chemical_formula_sum 'Sr2 Tc4 Pb2'
_space_group_name_H-M_alt 'I m m 2'
_space_group_IT_number 44
_cell_length_a 3.7347
_cell_length_b 5.1155
_cell_length_c 10.1414
_cell_angle_alpha 90.00
_cell_angle_beta 90.00
_cell_angle_gamma 90.00
loop_
_space_group_symop_operation_xyz
'x,y,z'
'-x,-y,z'
'-x,y,z'
'x,-y,z'
'x+1/2,y+1/2,z+1/2'
'-x+1/2,-y+1/2,z+1/2'
'-x+1/2,y+1/2,z+1/2'
'x+1/2,-y+1/2,z+1/2'
loop_
_atom_site_label
_atom_site_type_symbol
_atom_site_fract_x
_atom_site_fract_y
_atom_site_fract_z
Sr1 Sr 0.0000 0.0000 0.0000
Tc1 Tc 0.0000 0.0000 0.4231
Tc2 Tc 0.0000 0.5000 0.7846
Pb1 Pb 0.0000 0.5000 0.2152
```

Values from the calculation:
The total magnetic moment comes out at 0.003 μB per cell. The calculation puts the energy relative to the elements at 2.18 eV per formula unit. The crystal system is orthorhombic.

(5)
The following is a DFT calculation (GGA-PBE) of a relaxed structure of Tb2Dy9Mg.

The structure in CIF format:
```
data_Tb2Dy9Mg
_chemical_formula_sum 'Tb2 Dy9 Mg1'
_space_group_name_H-M_alt 'P 4/m m m'
_space_group_IT_number 123
_space_group_name_Hall '-P 4 2'
_cell_length_a 4.9752
_cell_length_b 4.9752
_cell_length_c 14.9972
_cell_angle_alpha 90.00
_cell_angle_beta 90.00
_cell_angle_gamma 90.00
loop_
_atom_site_label
_atom_site_type_symbol
_atom_site_fract_x
_atom_site_fract_y
_atom_site_fract_z
Tb1 Tb 0.0000 0.0000 0.1685
Dy1 Dy 0.0000 0.5000 0.0000
Dy2 Dy 0.0000 0.5000 0.3359
Dy3 Dy 0.5000 0.5000 0.1709
Dy4 Dy 0.5000 0.5000 0.5000
Mg1 Mg 0.0000 0.0000 0.5000
```

Values from the calculation:
The total magnetic moment comes out at 0.000 μB per cell. The calculation puts the energy relative to the elements at 0.25 eV per formula unit. The crystal system is tetragonal.

(6)
The following is a DFT calculation (GGA-PBE) of a relaxed structure of CoBiW2N.

The structure in CIF format:
```
data_CoBiW2N
_chemical_formula_sum 'Co1 Bi1 W2 N1'
_space_group_name_H-M_alt 'P 4/m m m'
_space_group_IT_number 123
_space_group_name_Hall '-P 4 2'
_cell_length_a 5.1748
_cell_length_b 5.1748
_cell_length_c 4.2020
_cell_angle_alpha 90.00
_cell_angle_beta 90.00
_cell_angle_gamma 90.00
loop_
_atom_site_label
_atom_site_type_symbol
_atom_site_fract_x
_atom_site_fract_y
_atom_site_fract_z
Co1 Co 0.0000 0.0000 0.0000
Bi1 Bi 0.5000 0.5000 0.5000
W1 W 0.0000 0.5000 0.5000
N1 N 0.5000 0.5000 0.0000
```

Values from the calculation:
The total magnetic moment comes out at 4.435 μB per cell. The crystal system is tetragonal. Its formation energy (no corrections) is 3345 meV per atom.

(7)
The following is a DFT calculation (GGA-PBE) of a relaxed structure of Be2Te.

The structure in CIF format:
```
data_Be2Te
_chemical_formula_sum 'Be2 Te1'
_space_group_name_H-M_alt 'P -6 m 2'
_space_group_IT_number 187
_space_group_name_Hall 'P -6 2'
_cell_length_a 3.8659
_cell_length_b 3.8659
_cell_length_c 4.5037
_cell_angle_alpha 90.00
_cell_angle_beta 90.00
_cell_angle_gamma 120.00
loop_
_atom_site_label
_atom_site_type_symbol
_atom_site_fract_x
_atom_site_fract_y
_atom_site_fract_z
Be1 Be 0.0000 0.0000 0.2284
Te1 Te 0.3333 0.6667 0.5000
```

Values from the calculation:
The total magnetic moment comes out at 0.000 μB per cell. The crystal system is hexagonal. Its formation energy (no corrections) is 423 meV per atom.

(8)
The following is a DFT calculation (GGA-PBE) of a relaxed structure of BaP8.

The structure in CIF format:
```
data_BaP8
_chemical_formula_sum 'Ba2 P16'
_space_group_name_H-M_alt 'P -1'
_space_group_IT_number 2
_cell_length_a 6.8541
_cell_length_b 7.3378
_cell_length_c 8.6851
_cell_angle_alpha 86.30
_cell_angle_beta 83.78
_cell_angle_gamma 70.17
loop_
_space_group_symop_operation_xyz
'x,y,z'
'-x,-y,-z'
loop_
_atom_site_label
_atom_site_type_symbol
_atom_site_fract_x
_atom_site_fract_y
_atom_site_fract_z
Ba1 Ba 0.2368 0.1656 0.3210
P1 P 0.0234 0.8312 0.2028
P2 P 0.0981 0.7272 0.9598
P3 P 0.1038 0.3779 0.6727
P4 P 0.2635 0.8233 0.6054
P5 P 0.2641 0.9206 0.8425
P6 P 0.3581 0.4517 0.9974
P7 P 0.4098 0.3170 0.7588
P8 P 0.4871 0.4578 0.3820
```

Values from the calculation:
The total magnetic moment comes out at 0.000 μB per cell. The calculation puts the energy relative to the elements at -2.80 eV per formula unit. The crystal system is triclinic.

(9)
The following is a DFT calculation (GGA-PBE) of a relaxed structure of ScTlSb2.

The structure in CIF format:
```
data_ScTlSb2
_chemical_formula_sum 'Sc1 Tl1 Sb2'
_space_group_name_H-M_alt 'P 1 m 1'
_space_group_IT_number 6
_cell_length_a 3.4125
_cell_length_b 5.2488
_cell_length_c 6.0507
_cell_angle_alpha 90.00
_cell_angle_beta 102.88
_cell_angle_gamma 90.00
loop_
_space_group_symop_operation_xyz
'x,y,z'
'x,-y,z'
loop_
_atom_site_label
_atom_site_type_symbol
_atom_site_fract_x
_atom_site_fract_y
_atom_site_fract_z
Sc1 Sc 0.0000 0.0000 0.0000
Tl1 Tl 0.1797 0.5000 0.3639
Sb1 Sb 0.4251 0.5000 0.8811
Sb2 Sb 0.7283 0.0000 0.4465
```

Values from the calculation:
The total magnetic moment comes out at 0.000 μB per cell. The crystal system is monoclinic. Its formation energy (no corrections) is -241 meV per atom.

(10)
The following is a DFT calculation (GGA-PBE) of a relaxed structure of ZrPdPb2O6.

The structure in CIF format:
```
data_ZrPdPb2O6
_chemical_formula_sum 'Zr2 Pd2 Pb4 O12'
_space_group_name_H-M_alt 'P 1 21/c 1'
_space_group_IT_number 14
_cell_length_a 5.8070
_cell_length_b 5.7743
_cell_length_c 9.9994
_cell_angle_alpha 90.00
_cell_angle_beta 125.29
_cell_angle_gamma 90.00
loop_
_space_group_symop_operation_xyz
'x,y,z'
'-x,-y,-z'
'-x,y+1/2,-z+1/2'
'x,-y+1/2,z+1/2'
loop_
_atom_site_label
_atom_site_type_symbol
_atom_site_fract_x
_atom_site_fract_y
_atom_site_fract_z
Zr1 Zr 0.0000 0.0000 0.0000
Pd1 Pd 0.5000 0.0000 0.5000
Pb1 Pb 0.2588 0.0161 0.7513
O1 O 0.1927 0.0062 0.2546
O2 O 0.2676 0.7227 0.0354
O3 O 0.3119 0.2311 0.0335
```

Values from the calculation:
The total magnetic moment comes out at 0.000 μB per cell. The crystal system is monoclinic. Its formation energy (no corrections) is -1494 meV per atom.

(11)
The following is a DFT calculation (GGA-PBE) of a relaxed structure of LiPmHo2Rh4.

The structure in CIF format:
```
data_LiPmHo2Rh4
_chemical_formula_sum 'Li3 Pm3 Ho6 Rh12'
_space_group_name_H-M_alt 'R -3 m'
_space_group_IT_number 166
_space_group_name_Hall '-R 3 2"'
_cell_length_a 4.7194
_cell_length_b 4.7194
_cell_length_c 23.3843
_cell_angle_alpha 90.00
_cell_angle_beta 90.00
_cell_angle_gamma 120.00
loop_
_atom_site_label
_atom_site_type_symbol
_atom_site_fract_x
_atom_site_fract_y
_atom_site_fract_z
Li1 Li 0.0000 0.0000 0.0000
Pm1 Pm 0.0000 0.0000 0.5000
Ho1 Ho 0.0000 0.0000 0.2593
Rh1 Rh 0.0000 0.0000 0.1216
Rh2 Rh 0.0000 0.0000 0.3760
```

Values from the calculation:
The total magnetic moment comes out at 0.000 μB per cell. The calculation puts the energy relative to the elements at -5.37 eV per formula unit. The crystal system is trigonal.

(12)
The following is a DFT calculation (GGA-PBE) of a relaxed structure of Pa3Ni8Pd.

The structure in CIF format:
```
data_Pa3Ni8Pd
_chemical_formula_sum 'Pa9 Ni24 Pd3'
_space_group_name_H-M_alt 'R 3 m'
_space_group_IT_number 160
_space_group_name_Hall 'R 3 -2"'
_cell_length_a 4.9445
_cell_length_b 4.9445
_cell_length_c 24.7531
_cell_angle_alpha 90.00
_cell_angle_beta 90.00
_cell_angle_gamma 120.00
loop_
_atom_site_label
_atom_site_type_symbol
_atom_site_fract_x
_atom_site_fract_y
_atom_site_fract_z
Pa1 Pa 0.0000 0.0000 0.0000
Pa2 Pa 0.0000 0.0000 0.1302
Pa3 Pa 0.0000 0.0000 0.5165
Ni1 Ni 0.0000 0.0000 0.3204
Ni2 Ni 0.0000 0.0000 0.8197
Ni3 Ni 0.1670 0.3341 0.4030
Ni4 Ni 0.1679 0.3358 0.9037
Pd1 Pd 0.0000 0.0000 0.6364
```

Values from the calculation:
The total magnetic moment comes out at 0.000 μB per cell. The calculation puts the energy relative to the elements at -5.53 eV per formula unit. The crystal system is trigonal.

(13)
The following is a DFT calculation (GGA-PBE) of a relaxed structure of ScAlZn2.

The structure in CIF format:
```
data_ScAlZn2
_chemical_formula_sum 'Sc1 Al1 Zn2'
_space_group_name_H-M_alt 'P 4/m m m'
_space_group_IT_number 123
_space_group_name_Hall '-P 4 2'
_cell_length_a 3.2205
_cell_length_b 3.2205
_cell_length_c 6.6200
_cell_angle_alpha 90.00
_cell_angle_beta 90.00
_cell_angle_gamma 90.00
loop_
_atom_site_label
_atom_site_type_symbol
_atom_site_fract_x
_atom_site_fract_y
_atom_site_fract_z
Sc1 Sc 0.0000 0.0000 0.0000
Al1 Al 0.0000 0.0000 0.5000
Zn1 Zn 0.5000 0.5000 0.2777
```

Values from the calculation:
The total magnetic moment comes out at 0.330 μB per cell. The calculation puts the energy relative to the elements at -0.79 eV per formula unit. The crystal system is tetragonal.